(1)
# Rb2ZrPdF6, optimized geometry, DFT GGA-PBE
# - raw total energy (eV/atom) = -5.37
data_Rb2ZrPdF6
_space_group_name_H-M_alt 'I 4/m m m'
_space_group_IT_number 139
_space_group_name_Hall '-I 4 2'
_cell_length_a 7.1847
_cell_length_b 7.1847
_cell_length_c 8.4322
_cell_angle_alpha 90.00
_cell_angle_beta 90.00
_cell_angle_gamma 90.00
loop_
_atom_site_label
_atom_site_fract_x
_atom_site_fract_y
_atom_site_fract_z
Rb1 0.0000 0.5000 0.2500
Zr1 0.0000 0.0000 0.0000
Pd1 0.0000 0.0000 0.5000
F1 0.0000 0.0000 0.2425
F2 0.2004 0.2004 0.0000

(2)
# GaSi2Pd8, optimized geometry, DFT GGA-PBE
# - raw total energy (eV/atom) = -5.58
data_GaSi2Pd8
_space_group_name_H-M_alt 'I m m m'
_space_group_IT_number 71
_space_group_name_Hall '-I 2 2'
_cell_length_a 3.9567
_cell_length_b 7.0293
_cell_length_c 11.8246
_cell_angle_alpha 90.00
_cell_angle_beta 90.00
_cell_angle_gamma 90.00
loop_
_atom_site_label
_atom_site_fract_x
_atom_site_fract_y
_atom_site_fract_z
Ga1 0.0000 0.0000 0.0000
Si1 0.0000 0.0000 0.3156
Pd1 0.0000 0.1883 0.5000
Pd2 0.0000 0.2842 0.1659
Pd3 0.0000 0.5000 0.3613

(3)
# ZrTa2Ir, optimized geometry, DFT GGA-PBE
# - energy relative to the elements (meV per atom) = -319
data_ZrTa2Ir
_space_group_name_H-M_alt 'F -4 3 m'
_space_group_IT_number 216
_space_group_name_Hall 'F -4 2 3'
_cell_length_a 6.5748
_cell_length_b 6.5748
_cell_length_c 6.5748
_cell_angle_alpha 90.00
_cell_angle_beta 90.00
_cell_angle_gamma 90.00
loop_
_atom_site_label
_atom_site_fract_x
_atom_site_fract_y
_atom_site_fract_z
Zr1 0.0000 0.0000 0.0000
Ta1 0.0000 0.0000 0.5000
Ta2 0.2500 0.2500 0.7500
Ir1 0.2500 0.2500 0.2500

(4)
# P2Ru2SeN, optimized geometry, DFT GGA-PBE
# - raw total energy (eV/atom) = -6.70
data_P2Ru2SeN
_space_group_name_H-M_alt 'P 1'
_space_group_IT_number 1
_space_group_name_Hall 'P 1'
_cell_length_a 3.8643
_cell_length_b 4.7638
_cell_length_c 5.7351
_cell_angle_alpha 81.33
_cell_angle_beta 75.11
_cell_angle_gamma 87.97
loop_
_atom_site_label
_atom_site_fract_x
_atom_site_fract_y
_atom_site_fract_z
P1 0.0000 0.0000 0.0000
P2 0.4106 0.6899 0.8073
Ru1 0.8406 0.5073 0.9883
Ru2 0.8859 0.6214 0.4766
Se1 0.4303 0.3341 0.4045
N1 0.0561 0.9553 0.2788

(5)
# SrBeSb2I, optimized geometry, DFT GGA-PBE
# - raw total energy (eV/atom) = -2.12
data_SrBeSb2I
_space_group_name_H-M_alt 'P 4/m m m'
_space_group_IT_number 123
_space_group_name_Hall '-P 4 2'
_cell_length_a 6.3536
_cell_length_b 6.3536
_cell_length_c 6.2537
_cell_angle_alpha 90.00
_cell_angle_beta 90.00
_cell_angle_gamma 90.00
loop_
_atom_site_label
_atom_site_fract_x
_atom_site_fract_y
_atom_site_fract_z
Sr1 0.0000 0.0000 0.0000
Be1 0.5000 0.5000 0.5000
Sb1 0.0000 0.5000 0.0000
I1 0.0000 0.0000 0.5000

(6)
# Li3Sm2PuTe6, optimized geometry, DFT GGA-PBE
# - raw total energy (eV/atom) = -5.22
data_Li3Sm2PuTe6
_space_group_name_H-M_alt 'C 1 2/m 1'
_space_group_IT_number 12
_space_group_name_Hall '-C 2y'
_cell_length_a 7.6536
_cell_length_b 13.2497
_cell_length_c 7.4976
_cell_angle_alpha 90.00
_cell_angle_beta 109.87
_cell_angle_gamma 90.00
loop_
_atom_site_label
_atom_site_fract_x
_atom_site_fract_y
_atom_site_fract_z
Li1 0.0000 0.0000 0.0000
Li2 0.0000 0.3326 0.0000
Sm1 0.0000 0.1665 0.5000
Pu1 0.0000 0.5000 0.5000
Te1 0.2462 0.5000 0.2408
Te2 0.2471 0.1663 0.2402